# Tb2GdAl3PtAu2

Tb2GdAl3PtAu2 after structural relaxation (PBE, the Open Quantum Materials Database).

VASP energy ... -5.107 eV/atom
Symmetry ... Amm2
V ... 188.4 Å³ per cell

Unit cell a=3.9820 b=7.3925 c=7.3925 alpha=120.01 beta=90.00 gamma=90.00
Element x y z (fractional)
Pt  0.0000  0.0010  0.0010
Tb  0.0000  0.0000  0.4103
Au  0.5000  0.6672  0.3321
Gd  0.0000  0.5890  0.5890
Al  0.5000  0.0003  0.7640
Al  0.5000  0.7640  0.0003
Tb  0.0000  0.4103  0.0000
Al  0.5000  0.2360  0.2360
Au  0.5000  0.3321  0.6672